(1)
Entry from Alexandria: crystalline ZnRu2Au at its relaxed geometry (PBEsol).

Computed properties:
Energy of formation from the pure elements: 289.9 meV/atom
DOS(E_F): 0.862 states/eV/atom

Unit cell a=2.769 b=4.634 c=9.093 alpha=90.00 beta=90.00 gamma=90.00
Space group Cmm2 (No. 35)
Unique sites:
1 Zn 0.000 0.000 0.000 (multiplicity 2)
2 Ru 0.000 0.000 0.474 (multiplicity 2)
3 Ru 0.000 0.500 0.240 (multiplicity 2)
4 Au 0.000 0.500 0.746 (multiplicity 2)

---

(2)
Entry from Alexandria: crystalline Mg2TlIn at its relaxed geometry (PBEsol).

Computed properties:
Energy of formation from the pure elements: -56.5 meV/atom
DOS(E_F): 0.383 states/eV/atom

Unit cell a=3.442 b=5.088 c=10.855 alpha=90.00 beta=90.00 gamma=90.00
Space group Imm2 (No. 44)
Unique sites:
1 Mg 0.000 0.000 0.000 (multiplicity 2)
2 Mg 0.000 0.500 0.249 (multiplicity 2)
3 Tl 0.000 0.000 0.501 (multiplicity 2)
4 In 0.000 0.500 0.744 (multiplicity 2)

---

(3)
Entry from Alexandria: crystalline NaHf2AgCl at its relaxed geometry (PBEsol).

Computed properties:
DOS(E_F): 1.123 states/eV/atom
Formation energy (no corrections): 1.07 eV/atom

Unit cell a=5.084 b=5.084 c=5.704 alpha=90.00 beta=90.00 gamma=90.00
Space group P4/mmm (No. 123)
Unique sites:
1 Na 0.000 0.000 0.000 (multiplicity 1)
2 Hf 0.000 0.500 0.500 (multiplicity 2)
3 Ag 0.500 0.500 0.500 (multiplicity 1)
4 Cl 0.500 0.500 0.000 (multiplicity 1)

---

(4)
Entry from Alexandria: crystalline LaHfAu3 at its relaxed geometry (PBEsol).

Computed properties:
Energy of formation from the pure elements: 949.0 meV/atom
DOS(E_F): 0.886 states/eV/atom

Unit cell a=5.232 b=5.232 c=5.232 alpha=90.00 beta=90.00 gamma=90.00
Space group Pm-3m (No. 221)
Unique sites:
1 La 0.000 0.000 0.000 (multiplicity 1)
2 Hf 0.500 0.500 0.500 (multiplicity 1)
3 Au 0.000 0.000 0.500 (multiplicity 3)

---

(5)
Entry from Alexandria: crystalline LaMg2Se at its relaxed geometry (PBEsol).

Computed properties:
DOS(E_F): 0.551 states/eV/atom
Formation energy (no corrections): -0.49 eV/atom

Unit cell a=3.564 b=3.564 c=7.678 alpha=90.00 beta=90.00 gamma=90.00
Space group P4/mmm (No. 123)
Unique sites:
1 La 0.000 0.000 0.000 (multiplicity 1)
2 Mg 0.500 0.500 0.308 (multiplicity 2)
3 Se 0.000 0.000 0.500 (multiplicity 1)

---

(6)
Entry from Alexandria: crystalline NaTa2Nb at its relaxed geometry (PBEsol).

Computed properties:
Energy of formation from the pure elements: 834.9 meV/atom
DOS(E_F): 0.973 states/eV/atom

Unit cell a=6.622 b=6.622 c=6.622 alpha=90.00 beta=90.00 gamma=90.00
Space group Fm-3m (No. 225)
Unique sites:
1 Na 0.000 0.000 0.000 (multiplicity 4)
2 Ta 0.250 0.250 0.250 (multiplicity 8)
3 Nb 0.000 0.000 0.500 (multiplicity 4)

---

(7)
Entry from Alexandria: crystalline Mg9Si5 at its relaxed geometry (PBEsol).

Computed properties:
DOS(E_F): 0.057 states/eV/atom
Formation energy (no corrections): -0.12 eV/atom
ΔE to the lowest computed polymorph: 0.0093 eV/atom

Unit cell a=7.1396 b=7.1396 c=36.5964 alpha=90.00 beta=90.00 gamma=120.00
Space group R32 (No. 155, hexagonal axes)
Unique sites:
1 Mg 0.0000 0.2522 0.0000 (multiplicity 9)
2 Mg 0.0000 0.7437 0.5000 (multiplicity 9)
3 Mg 0.0179 0.7472 0.3888 (multiplicity 18)
4 Mg 0.0201 0.4104 0.5540 (multiplicity 18)
5 Si 0.0000 0.0000 0.0578 (multiplicity 6)
6 Si 0.0000 0.0000 0.1694 (multiplicity 6)
7 Si 0.0000 0.0000 0.2646 (multiplicity 6)
8 Si 0.0000 0.0000 0.3323 (multiplicity 6)
9 Si 0.0000 0.0000 0.4441 (multiplicity 6)

---

(8)
Entry from Alexandria: crystalline BeOs2Ru at its relaxed geometry (PBEsol).

Computed properties:
Energy of formation from the pure elements: -36.8 meV/atom
DOS(E_F): 0.706 states/eV/atom

Unit cell a=2.750 b=2.750 c=6.459 alpha=90.00 beta=90.00 gamma=90.00
Space group P4mm (No. 99)
Unique sites:
1 Be 0.000 0.000 0.000 (multiplicity 1)
2 Os 0.000 0.000 0.505 (multiplicity 1)
3 Os 0.500 0.500 0.220 (multiplicity 1)
4 Ru 0.500 0.500 0.787 (multiplicity 1)